{
  "formula": "BaCuPd4",
  "functional": "PBE",
  "state": "optimized geometry",
  "total_magnetization_mub_per_cell": 0.00,
  "dos_ef_per_ev_cell": 8.6,
  "delta_e_f_mev_per_atom": -194.0,
  "lattice": [[4.100, 0.000, 0.000], [0.000, 7.267, 0.000], [0.000, 0.000, 7.843]],
  "species": ["Cu", "Cu", "Pd", "Pd", "Pd", "Pd", "Pd", "Pd", "Pd", "Pd", "Ba", "Ba"],
  "frac_coords": [[0.000, 0.210, 0.750], [0.000, 0.790, 0.250], [0.500, 0.715, 0.442], [0.500, 0.037, 0.250], [0.500, 0.285, 0.942], [0.500, 0.963, 0.750], [0.500, 0.715, 0.058], [0.000, 0.000, 0.500], [0.000, 0.000, 0.000], [0.500, 0.285, 0.558], [0.000, 0.374, 0.250], [0.000, 0.626, 0.750]]
}

{
  "formula": "Ba2Cu2Pd",
  "functional": "PBE",
  "state": "optimized geometry",
  "total_magnetization_mub_per_cell": 0.00,
  "dos_ef_per_ev_cell": 1.9,
  "relative_energy_mev_per_atom": 161.2,
  "delta_e_f_mev_per_atom": -49.8,
  "lattice": [[-0.723, 3.052, -2.037], [-0.151, -2.099, -3.092], [-9.733, -0.830, -1.225]],
  "species": ["Ba", "Ba", "Cu", "Cu", "Pd"],
  "frac_coords": [[0.395, 0.395, 0.209], [0.605, 0.605, 0.791], [0.250, 0.750, 0.500], [0.750, 0.250, 0.500], [0.000, 0.000, 0.000]]
}